NaNbAl2O6: relaxed, PBE.

## Properties
SG = No. 15
energy relative to the elements, uncorrected = -61.0 kcal/mol of atoms
D(E_F) = 0.000 states/eV/atom
spin magnetization = 0.00 μB/f.u.

Lattice parameters (Å, degrees): 7.1414 7.1414 6.0290 105.40 105.40 101.57
Positions (direct):
Na1 0.1060 0.8940 0.7500
Na2 0.8940 0.1060 0.2500
Nb1 0.1916 0.8084 0.2500
Nb2 0.8084 0.1916 0.7500
Al1 0.3042 0.4429 0.8287
Al2 0.4429 0.3042 0.3287
Al3 0.5571 0.6958 0.6713
Al4 0.6958 0.5571 0.1713
O1 0.0582 0.2276 0.6972
O2 0.1779 0.6265 0.9531
O3 0.2276 0.0582 0.1972
O4 0.3376 0.4343 0.5408
O5 0.3735 0.8221 0.5469
O6 0.4343 0.3376 0.0408
O7 0.5657 0.6624 0.9592
O8 0.6265 0.1779 0.4531
O9 0.6624 0.5657 0.4592
O10 0.7724 0.9418 0.8028
O11 0.8221 0.3735 0.0469
O12 0.9418 0.7724 0.3028